Cs2NiOsBr6: optimized geometry, GGA-PBE.

## Properties
The density of states at the Fermi level is 1.04 states/eV/atom. The uncorrected formation energy comes out at -0.61 eV/atom. The volume comes out at 306.0 Å³/f.u.

CIF file:
```
data_Cs2NiOsBr6
_chemical_formula_sum 'Cs2 Ni1 Os1 Br6'
_cell_length_a 7.218
_cell_length_b 7.218
_cell_length_c 7.781
_cell_angle_alpha 62.37
_cell_angle_beta 62.37
_cell_angle_gamma 90.00
_symmetry_space_group_name_H-M 'P 1'
_symmetry_Int_Tables_number 1
_symmetry_space_group_name_Hall 'P 1'
loop_
_atom_site_label
_atom_site_type_symbol
_atom_site_fract_x
_atom_site_fract_y
_atom_site_fract_z
Br1 Br 0.253 0.747 0.000
Br2 Br 0.217 0.217 0.566
Br3 Br 0.747 0.253 0.000
Br4 Br 0.747 0.747 0.000
Br5 Br 0.783 0.783 0.434
Br6 Br 0.253 0.253 0.000
Os1 Os 0.000 0.000 0.000
Ni1 Ni 0.500 0.500 0.000
Cs1 Cs 0.750 0.250 0.500
Cs2 Cs 0.250 0.750 0.500
```